# 1
CdFe2Au after structural relaxation, computed with PBE-GGA.

Properties
DFT formation energy	4.82	kcal/mol of atoms
crystal system	orthorhombic

Structure (CIF):
```
data_CdFe2Au
_chemical_formula_sum 'Cd2 Fe4 Au2'
_cell_length_a 3.0100
_cell_length_b 4.6195
_cell_length_c 9.0273
_cell_angle_alpha 90.00
_cell_angle_beta 90.00
_cell_angle_gamma 90.00
_symmetry_space_group_name_H-M 'I m m 2'
_symmetry_Int_Tables_number 44
loop_
_symmetry_equiv_pos_as_xyz
'x,y,z'
'-x,-y,z'
'-x,y,z'
'x,-y,z'
'x+1/2,y+1/2,z+1/2'
'-x+1/2,-y+1/2,z+1/2'
'-x+1/2,y+1/2,z+1/2'
'x+1/2,-y+1/2,z+1/2'
loop_
_atom_site_label
_atom_site_type_symbol
_atom_site_fract_x
_atom_site_fract_y
_atom_site_fract_z
Cd1 Cd 0.0000 0.0000 0.0000
Fe1 Fe 0.0000 0.0000 0.4708
Fe2 Fe 0.0000 0.5000 0.7678
Au1 Au 0.0000 0.5000 0.2243
```

=====

# 2
LiEr4Ge4 after structural relaxation, computed with PBE-GGA.

Properties
DFT formation energy	-18.94	kcal/mol of atoms
crystal system	orthorhombic

Structure (CIF):
```
data_LiEr4Ge4
_chemical_formula_sum 'Li4 Er16 Ge16'
_cell_length_a 7.0836
_cell_length_b 14.5838
_cell_length_c 7.6593
_cell_angle_alpha 90.00
_cell_angle_beta 90.00
_cell_angle_gamma 90.00
_symmetry_space_group_name_H-M 'P n m a'
_symmetry_Int_Tables_number 62
loop_
_symmetry_equiv_pos_as_xyz
'x,y,z'
'-x,-y,-z'
'-x+1/2,-y,z+1/2'
'x+1/2,y,-z+1/2'
'x+1/2,-y+1/2,-z+1/2'
'-x+1/2,y+1/2,z+1/2'
'-x,y+1/2,-z'
'x,-y+1/2,z'
loop_
_atom_site_label
_atom_site_type_symbol
_atom_site_fract_x
_atom_site_fract_y
_atom_site_fract_z
Li1 Li 0.1607 0.2500 0.0248
Er1 Er 0.0147 0.5971 0.6868
Er2 Er 0.1714 0.6278 0.1755
Ge1 Ge 0.0167 0.2500 0.5857
Ge2 Ge 0.1682 0.0368 0.9658
Ge3 Ge 0.2156 0.7500 0.8617
```

=====

# 3
ScFeRu after structural relaxation, computed with PBE-GGA.

Properties
DFT formation energy	-5.34	kcal/mol of atoms
crystal system	orthorhombic

Structure (CIF):
```
data_ScFeRu
_chemical_formula_sum 'Sc4 Fe4 Ru4'
_cell_length_a 3.1677
_cell_length_b 13.4124
_cell_length_c 4.2808
_cell_angle_alpha 90.00
_cell_angle_beta 90.00
_cell_angle_gamma 90.00
_symmetry_space_group_name_H-M 'C m c m'
_symmetry_Int_Tables_number 63
_symmetry_space_group_name_Hall '-C 2c 2'
loop_
_atom_site_label
_atom_site_type_symbol
_atom_site_fract_x
_atom_site_fract_y
_atom_site_fract_z
Sc1 Sc 0.0000 0.0863 0.2500
Fe1 Fe 0.0000 0.2424 0.7500
Ru1 Ru 0.0000 0.4082 0.2500
```

=====

# 4
InCo2Hg after structural relaxation, computed with PBE-GGA.

Properties
energy above the lowest structure with this stoichiometry	0.247	eV per atom
DFT formation energy	11.71	kcal/mol of atoms
crystal system	cubic

Structure (CIF):
```
data_InCo2Hg
_chemical_formula_sum 'In4 Co8 Hg4'
_cell_length_a 6.3771
_cell_length_b 6.3771
_cell_length_c 6.3771
_cell_angle_alpha 90.00
_cell_angle_beta 90.00
_cell_angle_gamma 90.00
_symmetry_space_group_name_H-M 'F -4 3 m'
_symmetry_Int_Tables_number 216
_symmetry_space_group_name_Hall 'F -4 2 3'
loop_
_atom_site_label
_atom_site_type_symbol
_atom_site_fract_x
_atom_site_fract_y
_atom_site_fract_z
In1 In 0.0000 0.0000 0.0000
Co1 Co 0.0000 0.0000 0.5000
Co2 Co 0.2500 0.2500 0.2500
Hg1 Hg 0.2500 0.2500 0.7500
```

=====

# 5
Hf4Zr5Sc after structural relaxation, computed with PBE-GGA.

Properties
DFT formation energy	1.15	kcal/mol of atoms
crystal system	monoclinic

Structure (CIF):
```
data_Hf4Zr5Sc
_chemical_formula_sum 'Hf8 Zr10 Sc2'
_cell_length_a 15.3004
_cell_length_b 3.1486
_cell_length_c 10.1368
_cell_angle_alpha 90.00
_cell_angle_beta 109.82
_cell_angle_gamma 90.00
_symmetry_space_group_name_H-M 'C 1 2/m 1'
_symmetry_Int_Tables_number 12
loop_
_symmetry_equiv_pos_as_xyz
'x,y,z'
'-x,-y,-z'
'-x,y,-z'
'x,-y,z'
'x+1/2,y+1/2,z'
'-x+1/2,-y+1/2,-z'
'-x+1/2,y+1/2,-z'
'x+1/2,-y+1/2,z'
loop_
_atom_site_label
_atom_site_type_symbol
_atom_site_fract_x
_atom_site_fract_y
_atom_site_fract_z
Hf1 Hf 0.0870 0.0000 0.2985
Hf2 Hf 0.1065 0.5000 0.8004
Zr1 Zr 0.0000 0.5000 0.5000
Zr2 Zr 0.1923 0.0000 0.0889
Zr3 Zr 0.2100 0.0000 0.6120
Sc1 Sc 0.0000 0.5000 0.0000
```

=====

# 6
Pu2GaSb after structural relaxation, computed with PBE-GGA.

Properties
energy above the lowest structure with this stoichiometry	0.000	eV per atom
formation energy without anion corrections	-0.459	eV per atom
crystal system	tetragonal

Structure (CIF):
```
data_Pu2GaSb
_chemical_formula_sum 'Pu2 Ga1 Sb1'
_cell_length_a 4.6914
_cell_length_b 4.6914
_cell_length_c 4.4199
_cell_angle_alpha 90.00
_cell_angle_beta 90.00
_cell_angle_gamma 90.00
_symmetry_space_group_name_H-M 'P 4/m m m'
_symmetry_Int_Tables_number 123
_symmetry_space_group_name_Hall '-P 4 2'
loop_
_atom_site_label
_atom_site_type_symbol
_atom_site_fract_x
_atom_site_fract_y
_atom_site_fract_z
Pu1 Pu 0.0000 0.5000 0.0000
Ga1 Ga 0.0000 0.0000 0.5000
Sb1 Sb 0.5000 0.5000 0.5000
```